[1]
VASP calculation (PBE) on an optimized crystal structure of HfRe2Ge.

The space group is I-42d (No. 122) and the conventional cell measures 7.509, 7.509 and 5.156 Å, with angles of 90.00, 90.00 and 90.00 degrees. The inequivalent atoms are Hf at (0.000, 0.000, 0.000), Re at (0.188, 0.750, 0.625) and Ge at (0.000, 0.000, 0.500).

The calculation puts the final energy at -9.26 eV/atom. The calculation puts the formation energy at 0.61 eV per atom.



[2]
VASP calculation (PBE) on an optimized crystal structure of HfRe3Ge.

The space group is Pm-3m (No. 221) and the conventional cell measures 4.540, 4.540 and 4.540 Å, with angles of 90.00, 90.00 and 90.00 degrees. The inequivalent atoms are Hf at (0.000, 0.000, 0.000), Re at (0.000, 0.500, 0.500) and Ge at (0.500, 0.500, 0.500).

The calculation puts the final energy at -9.22 eV/atom. The calculation puts the formation energy at 1.16 eV per atom. The energy above the most stable polymorph in this dataset comes out at 0.00 eV/f.u.



[3]
VASP calculation (PBE) on an optimized crystal structure of HfReGe3.

The space group is Pm-3m (No. 221) and the conventional cell measures 4.802, 4.802 and 4.802 Å, with angles of 90.00, 90.00 and 90.00 degrees. The inequivalent atoms are Hf at (0.000, 0.000, 0.000), Re at (0.500, 0.500, 0.500) and Ge at (0.000, 0.500, 0.500).

The calculation puts the final energy at -6.53 eV/atom. The calculation puts the formation energy at 0.72 eV per atom. The energy above the most stable polymorph in this dataset comes out at 0.00 eV/f.u.



[4]
VASP calculation (PBE) on an optimized crystal structure of Hf5ReGe5.

The space group is C2/m (No. 12) and the conventional cell measures 12.292, 5.304 and 6.923 Å, with angles of 90.00, 108.18 and 90.00 degrees. The inequivalent atoms are Hf at (0.000, 0.000, 0.000), Hf at (0.105, 0.500, 0.220), Hf at (0.180, 0.500, 0.827), Re at (0.000, 0.000, 0.500), Ge at (0.000, 0.500, 0.500), Ge at (0.170, 0.000, 0.810) and Ge at (0.178, 0.000, 0.388).

The calculation puts the final energy at -7.93 eV/atom. The calculation puts the formation energy at -0.18 eV per atom.



[5]
VASP calculation (PBE) on an optimized crystal structure of Hf2ReGe2.

The space group is P4/mbm (No. 127) and the conventional cell measures 6.659, 6.659 and 3.902 Å, with angles of 90.00, 90.00 and 90.00 degrees. The inequivalent atoms are Hf at (0.171, 0.329, 0.000), Re at (0.000, 0.000, 0.500) and Ge at (0.135, 0.635, 0.500).

The calculation puts the final energy at -8.85 eV/atom. The calculation puts the formation energy at -0.53 eV per atom. The energy above the most stable polymorph in this dataset comes out at 0.00 eV/f.u.



[6]
VASP calculation (PBE) on an optimized crystal structure of HfRe3Ge.

The space group is Pm-3m (No. 221) and the conventional cell measures 4.832, 4.832 and 4.832 Å, with angles of 90.00, 90.00 and 90.00 degrees. The inequivalent atoms are Hf at (0.000, 0.000, 0.000), Re at (0.000, 0.000, 0.500) and Ge at (0.500, 0.500, 0.500).

The calculation puts the final energy at -7.82 eV/atom. The calculation puts the formation energy at 2.56 eV per atom. The energy above the most stable polymorph in this dataset comes out at 7.00 eV/f.u.



[7]
VASP calculation (PBE) on an optimized crystal structure of Hf2ReGe2.

The space group is Immm (No. 71) and the conventional cell measures 4.031, 5.419 and 8.069 Å, with angles of 90.00, 90.00 and 90.00 degrees. The inequivalent atoms are Hf at (0.000, 0.000, 0.210), Re at (0.000, 0.500, 0.000) and Ge at (0.000, 0.275, 0.500).

The calculation puts the final energy at -8.79 eV/atom. The calculation puts the formation energy at -0.47 eV per atom. The energy above the most stable polymorph in this dataset comes out at 0.29 eV/f.u.



[8]
VASP calculation (PBE) on an optimized crystal structure of HfReGe2.

The space group is I-42d (No. 122) and the conventional cell measures 3.930, 3.930 and 18.958 Å, with angles of 90.00, 90.00 and 90.00 degrees. The inequivalent atoms are Hf at (0.000, 0.000, 0.000), Re at (0.000, 0.000, 0.500) and Ge at (0.238, 0.250, 0.625).

The calculation puts the final energy at -7.71 eV/atom. The calculation puts the formation energy at 0.20 eV per atom. The energy above the most stable polymorph in this dataset comes out at 1.11 eV/f.u.



[9]
VASP calculation (PBE) on an optimized crystal structure of HfV2ReGe.

The space group is P4/mmm (No. 123) and the conventional cell measures 4.617, 4.617 and 4.789 Å, with angles of 90.00, 90.00 and 90.00 degrees. The inequivalent atoms are Hf at (0.000, 0.000, 0.000), V at (0.000, 0.500, 0.000), Re at (0.000, 0.000, 0.500) and Ge at (0.500, 0.500, 0.500).

The calculation puts the final energy at -7.13 eV/atom. The calculation puts the formation energy at 1.92 eV per atom.



[10]
VASP calculation (PBE) on an optimized crystal structure of Hf8Ge2Rh.

The space group is C2/m (No. 12) and the conventional cell measures 12.298, 8.055 and 5.393 Å, with angles of 90.00, 112.14 and 90.00 degrees. The inequivalent atoms are Hf at (0.094, 0.000, 0.264), Hf at (0.122, 0.195, 0.768), Hf at (0.149, 0.500, 0.280), Ge at (0.210, 0.500, 0.847) and Rh at (0.000, 0.500, 0.500).

The calculation puts the final energy at -8.80 eV/atom. The calculation puts the formation energy at -0.05 eV per atom.



[11]
VASP calculation (PBE) on an optimized crystal structure of Hf5Ge5Rh.

The space group is C2/m (No. 12) and the conventional cell measures 10.595, 5.377 and 8.532 Å, with angles of 90.00, 115.12 and 90.00 degrees. The inequivalent atoms are Hf at (0.000, 0.000, 0.000), Hf at (0.161, 0.500, 0.312), Hf at (0.169, 0.500, 0.853), Ge at (0.000, 0.500, 0.500), Ge at (0.147, 0.000, 0.815), Ge at (0.169, 0.000, 0.346) and Rh at (0.000, 0.000, 0.500).

The calculation puts the final energy at -7.54 eV/atom. The calculation puts the formation energy at -0.25 eV per atom.



[12]
VASP calculation (PBE) on an optimized crystal structure of HfGeRh2.

The space group is Immm (No. 71) and the conventional cell measures 2.860, 4.776 and 10.086 Å, with angles of 90.00, 90.00 and 90.00 degrees. The inequivalent atoms are Hf at (0.000, 0.000, 0.000), Ge at (0.000, 0.000, 0.500) and Rh at (0.000, 0.000, 0.256).

The calculation puts the final energy at -7.36 eV/atom. The calculation puts the formation energy at -0.04 eV per atom.



[13]
VASP calculation (PBE) on an optimized crystal structure of HfGeRh2.

The space group is I-42d (No. 122) and the conventional cell measures 6.925, 6.925 and 5.766 Å, with angles of 90.00, 90.00 and 90.00 degrees. The inequivalent atoms are Hf at (0.000, 0.000, 0.000), Ge at (0.000, 0.000, 0.500) and Rh at (0.226, 0.250, 0.625).

The calculation puts the final energy at -7.66 eV/atom. The calculation puts the formation energy at -0.34 eV per atom.



[14]
VASP calculation (PBE) on an optimized crystal structure of Hf2GeRh4.

The space group is I4/mmm (No. 139) and the conventional cell measures 4.534, 4.534 and 13.038 Å, with angles of 90.00, 90.00 and 90.00 degrees. The inequivalent atoms are Hf at (0.000, 0.000, 0.132), Ge at (0.000, 0.000, 0.500), Rh at (0.000, 0.000, 0.315) and Rh at (0.000, 0.500, 0.000).

The calculation puts the final energy at -7.74 eV/atom. The calculation puts the formation energy at -0.04 eV per atom.



[15]
VASP calculation (PBE) on an optimized crystal structure of HfGe2Rh.

The space group is I-42d (No. 122) and the conventional cell measures 4.012, 4.012 and 18.289 Å, with angles of 90.00, 90.00 and 90.00 degrees. The inequivalent atoms are Hf at (0.000, 0.000, 0.000), Ge at (0.211, 0.250, 0.625) and Rh at (0.000, 0.000, 0.500).

The calculation puts the final energy at -6.89 eV/atom. The calculation puts the formation energy at -0.26 eV per atom.



[16]
VASP calculation (PBE) on an optimized crystal structure of HfGe2Rh.

The space group is R-3m (No. 166, hexagonal axes) and the conventional cell measures 3.0529, 3.0529 and 27.6865 Å, with angles of 90.00, 90.00 and 120.00 degrees. The inequivalent atoms are Hf at (0.0000, 0.0000, 0.0000), Ge at (0.0000, 0.0000, 0.0988) and Rh at (0.0000, 0.0000, 0.5000).

The calculation puts the final energy at -6.72 eV/atom. The calculation puts the formation energy at -0.08 eV per atom.



[17]
VASP calculation (PBE) on an optimized crystal structure of HfGeRh4.

The space group is P4/mmm (No. 123) and the conventional cell measures 4.136, 4.136 and 6.075 Å, with angles of 90.00, 90.00 and 90.00 degrees. The inequivalent atoms are Hf at (0.000, 0.000, 0.000), Ge at (0.500, 0.500, 0.500) and Rh at (0.000, 0.500, 0.266).

The calculation puts the final energy at -7.70 eV/atom. The calculation puts the formation energy at -0.37 eV per atom.



[18]
VASP calculation (PBE) on an optimized crystal structure of HfGe3Rh.

The space group is Pm-3m (No. 221) and the conventional cell measures 5.041, 5.041 and 5.041 Å, with angles of 90.00, 90.00 and 90.00 degrees. The inequivalent atoms are Hf at (0.000, 0.000, 0.000), Ge at (0.000, 0.000, 0.500) and Rh at (0.500, 0.500, 0.500).

The calculation puts the final energy at -5.25 eV/atom. The calculation puts the formation energy at 0.98 eV per atom.



[19]
VASP calculation (PBE) on an optimized crystal structure of Hf2GeRh6.

The space group is Immm (No. 71) and the conventional cell measures 4.183, 6.160 and 12.416 Å, with angles of 90.00, 90.00 and 90.00 degrees. The inequivalent atoms are Hf at (0.000, 0.000, 0.162), Ge at (0.000, 0.000, 0.500), Rh at (0.000, 0.241, 0.337) and Rh at (0.000, 0.273, 0.000).

The calculation puts the final energy at -8.01 eV/atom. The calculation puts the formation energy at -0.38 eV per atom.



[20]
VASP calculation (PBE) on an optimized crystal structure of HfGe2Rh2.

The space group is P4/mbm (No. 127) and the conventional cell measures 7.413, 7.413 and 2.878 Å, with angles of 90.00, 90.00 and 90.00 degrees. The inequivalent atoms are Hf at (0.000, 0.000, 0.000), Ge at (0.149, 0.351, 0.000) and Rh at (0.147, 0.647, 0.500).

The calculation puts the final energy at -7.26 eV/atom. The calculation puts the formation energy at -0.48 eV per atom.



[21]
VASP calculation (PBE) on an optimized crystal structure of HfGeRh3.

The space group is P6_3/mmc (No. 194) and the conventional cell measures 6.2383, 6.2383 and 4.9157 Å, with angles of 90.00, 90.00 and 120.00 degrees. The inequivalent atoms are Hf at (0.3333, 0.6667, 0.2500), Ge at (0.0000, 0.0000, 0.0000) and Rh at (0.1921, 0.3842, 0.7500).

The calculation puts the final energy at -7.70 eV/atom. The calculation puts the formation energy at -0.38 eV per atom. The energy above the most stable polymorph in this dataset comes out at 0.00 eV/f.u.



[22]
VASP calculation (PBE) on an optimized crystal structure of HfGe2Rh.

The space group is Pbam (No. 55) and the conventional cell measures 9.320, 10.529 and 8.089 Å, with angles of 90.00, 90.00 and 90.00 degrees. The inequivalent atoms are Hf at (0.162, 0.181, 0.000), Hf at (0.169, 0.453, 0.244), Ge at (0.040, 0.615, 0.000), Ge at (0.043, 0.613, 0.500), Ge at (0.135, 0.900, 0.000), Ge at (0.139, 0.908, 0.500), Ge at (0.155, 0.183, 0.348), Rh at (0.000, 0.000, 0.246) and Rh at (0.100, 0.745, 0.250).

The calculation puts the final energy at -7.28 eV/atom. The calculation puts the formation energy at -0.64 eV per atom.



[23]
VASP calculation (PBE) on an optimized crystal structure of HfGeRh3.

The space group is Pm-3m (No. 221) and the conventional cell measures 4.494, 4.494 and 4.494 Å, with angles of 90.00, 90.00 and 90.00 degrees. The inequivalent atoms are Hf at (0.000, 0.000, 0.000), Ge at (0.500, 0.500, 0.500) and Rh at (0.000, 0.500, 0.500).

The calculation puts the final energy at -7.29 eV/atom. The calculation puts the formation energy at 0.04 eV per atom. The energy above the most stable polymorph in this dataset comes out at 2.09 eV/f.u.



[24]
VASP calculation (PBE) on an optimized crystal structure of HfGeRh2.

The space group is P4/mmm (No. 123) and the conventional cell measures 4.147, 4.147 and 3.680 Å, with angles of 90.00, 90.00 and 90.00 degrees. The inequivalent atoms are Hf at (0.000, 0.000, 0.000), Ge at (0.500, 0.500, 0.000) and Rh at (0.000, 0.500, 0.500).

The calculation puts the final energy at -8.05 eV/atom. The calculation puts the formation energy at -0.73 eV per atom.